# 1
VASP calculation (PBE) on a geometry-optimized AlZnIr structure.

Cell: 4.7252 4.7252 4.7252 Å, 143.53 136.63 57.92°
Sites, in units of the cell vectors:
Al 0.0000 0.0000 0.0000
Zn 0.3239 0.3239 0.0000
Ir 0.6518 0.6518 0.0000

Output
ΔH_f (0 K) in eV/atom: -0.4894
N(E_F) in states/eV/cell: 1.27


# 2
VASP calculation (PBE) on a geometry-optimized HfCuNiCl2 structure.

Cell: 4.3598 4.3598 4.8877 Å, 90.00 90.00 90.00°
Sites, in units of the cell vectors:
Hf 0.0000 0.0000 0.0000
Cu 0.5000 0.5000 0.0000
Ni 0.5000 0.5000 0.5000
Cl 0.0000 0.5000 0.5000
Cl 0.5000 0.0000 0.5000

Output
Energy relative to the elements, uncorrected in meV per atom: 413
N(E_F) in states/eV/cell: 3.94


# 3
VASP calculation (PBE) on a geometry-optimized CdGaCu6 structure.

Cell: 4.3292 5.2697 5.2697 Å, 63.20 90.00 90.00°
Sites, in units of the cell vectors:
Cd 0.0000 0.0000 0.0000
Ga 0.5000 0.6804 0.6804
Cu 0.0000 0.0057 0.4971
Cu 0.0000 0.4971 0.0057
Cu 0.0000 0.4996 0.4996
Cu 0.5000 0.1843 0.1843
Cu 0.5000 0.1915 0.6603
Cu 0.5000 0.6603 0.1915

Output
ΔH_f (0 K) in eV/atom: -0.0054
N(E_F) in states/eV/cell: 2.78
Energy above the most stable polymorph in this dataset in meV/atom: 4


# 4
VASP calculation (PBE) on a geometry-optimized SnHPb2O structure.

Cell: 5.9461 5.9461 2.9711 Å, 90.00 90.00 90.00°
Sites, in units of the cell vectors:
Sn 0.0000 0.0000 0.0000
H 0.5000 0.5000 0.5000
Pb 0.0000 0.5000 0.5000
Pb 0.5000 0.0000 0.5000
O 0.5000 0.5000 0.0000

Output
Total energy in eV per atom: -3.858
N(E_F) in states/eV/cell: 1.13


# 5
VASP calculation (PBE) on a geometry-optimized Cs3MgOs structure.

Cell: 6.3046 6.3046 6.3046 Å, 90.00 90.00 90.00°
Sites, in units of the cell vectors:
Cs 0.0000 0.0000 0.5000
Cs 0.0000 0.5000 0.0000
Cs 0.5000 0.0000 0.0000
Mg 0.5000 0.5000 0.5000
Os 0.0000 0.0000 0.0000

Output
ΔH_f (0 K) in eV/atom: 1.2258
N(E_F) in states/eV/cell: 5.21
Energy above the most stable polymorph in this dataset in meV/atom: 0


# 6
VASP calculation (PBE) on a geometry-optimized Nd7PCl12 structure.

Cell: 9.0964 9.0964 9.0964 Å, 107.54 107.54 107.54°
Sites, in units of the cell vectors:
Nd 0.0000 0.0000 0.0000
Nd 0.1769 0.3889 0.4724
Nd 0.3889 0.4724 0.1769
Nd 0.4724 0.1769 0.3889
Nd 0.5276 0.8231 0.6111
Nd 0.6111 0.5276 0.8231
Nd 0.8231 0.6111 0.5276
P 0.5000 0.5000 0.5000
Cl 0.0337 0.3356 0.1183
Cl 0.1183 0.0337 0.3356
Cl 0.1864 0.7198 0.5777
Cl 0.2802 0.4223 0.8136
Cl 0.3356 0.1183 0.0337
Cl 0.4223 0.8136 0.2802
Cl 0.5777 0.1864 0.7198
Cl 0.6644 0.8817 0.9663
Cl 0.7198 0.5777 0.1864
Cl 0.8136 0.2802 0.4223
Cl 0.8817 0.9663 0.6644
Cl 0.9663 0.6644 0.8817

Output
Energy relative to the elements, uncorrected in meV per atom: -2036
N(E_F) in states/eV/cell: 1.81